PBE Tm3Mg3TlCd2, relaxed; total DFT energy (no corrections) = -24.25 eV/f.u.; space group = P-62m, No. 189
1.0
7.519 0.000 0.000
-3.759 6.511 0.000
0.000 0.000 4.537
Tm Mg Tl Cd
3 3 1 2
direct
0.000 0.577 0.000
0.423 0.423 0.000
0.577 0.000 0.000
0.000 0.246 0.500
0.246 0.000 0.500
0.754 0.754 0.500
0.000 0.000 0.000
0.333 0.667 0.500
0.667 0.333 0.500